{"formula": "TaZn2Re", "functional": "GGA-PBE", "state": "optimized geometry", "cell": [[2.7756, 0.0000, 0.0000], [0.0000, 4.2847, 0.0000], [-0.8746, 0.0000, 5.1834]], "species": ["Ta", "Zn", "Zn", "Re"], "frac_coords": [[0.0000, 0.0000, 0.0000], [0.5782, 0.5000, 0.2533], [0.6224, 0.0000, 0.4968], [0.2180, 0.5000, 0.7403]], "total_magnetization_mub_per_atom": 0.00, "n_ef_per_ev_fu": 1.7, "sg": "Pm (6)", "rho_kg_m3": 13414, "formation_energy_ev_per_atom": 0.030, "total_energy_ev_per_atom": -6.6822, "relative_energy_ev_per_atom": 0.000}